one | Computed, not measured: a relaxed structure of Nd2PdS at the PBE level of DFT.

Cell lengths 7.5792, 7.5792, 7.5792 Å; angles 31.01, 31.01, 31.01 degrees
Sites, in units of the cell vectors:
Nd  0.2494  0.2494  0.2494
Nd  0.7506  0.7506  0.7506
Pd  0.0000  0.0000  0.0000
S  0.5000  0.5000  0.5000

Calculated values
The calculation puts the mass density at 6.92 g cm⁻³. Its crystal system is trigonal.


two | Computed, not measured: a relaxed structure of Nd2PdS at the PBE level of DFT.

Cell lengths 11.9444, 11.9444, 4.1773 Å; angles 90.00, 90.00, 160.75 degrees
Sites, in units of the cell vectors:
Nd  0.0686  0.9314  0.7500
Nd  0.3111  0.6889  0.7500
Nd  0.6889  0.3111  0.2500
Nd  0.9314  0.0686  0.2500
Pd  0.4569  0.5431  0.7500
Pd  0.5431  0.4569  0.2500
S  0.1904  0.8096  0.7500
S  0.8096  0.1904  0.2500

Calculated values
The calculation puts the mass density at 7.22 g cm⁻³. Its crystal system is orthorhombic.


three | Computed, not measured: a relaxed structure of Nd2PdS at the PBE level of DFT.

Cell lengths 7.7970, 7.7970, 7.7970 Å; angles 29.84, 29.84, 29.84 degrees
Sites, in units of the cell vectors:
Nd  0.0000  0.0000  0.0000
Nd  0.1730  0.1730  0.1730
Pd  0.5869  0.5869  0.5869
S  0.4190  0.4190  0.4190

Calculated values
The calculation puts the mass density at 6.82 g cm⁻³. Its crystal system is trigonal.


Which structure is most stable? two, by 110 meV per atom over the runner-up.


one | Computed, not measured: a relaxed structure of NdSb2Pd7 at the PBE level of DFT.

Cell lengths 11.2689, 11.2689, 11.2689 Å; angles 158.40, 158.40, 30.73 degrees
Sites, in units of the cell vectors:
Nd  0.0000  0.0000  0.0000
Sb  0.3275  0.3275  0.0000
Sb  0.6725  0.6725  0.0000
Pd  0.0975  0.5975  0.5000
Pd  0.2500  0.7500  0.5000
Pd  0.4025  0.9025  0.5000
Pd  0.5000  0.5000  0.0000
Pd  0.5975  0.0975  0.5000
Pd  0.7500  0.2500  0.5000
Pd  0.9025  0.4025  0.5000

Calculated values
The calculation puts the mass density at 9.71 g cm⁻³. Its crystal system is tetragonal.


two | Computed, not measured: a relaxed structure of NdSb2Pd7 at the PBE level of DFT.

Cell lengths 7.4949, 7.4949, 4.6501 Å; angles 90.00, 90.00, 120.03 degrees
Sites, in units of the cell vectors:
Nd  0.0000  0.0000  0.0000
Sb  0.3019  0.6981  0.5000
Sb  0.6981  0.3019  0.5000
Pd  0.0678  0.2946  0.5000
Pd  0.2162  0.7838  0.0000
Pd  0.2946  0.0678  0.5000
Pd  0.5000  0.5000  0.5000
Pd  0.7054  0.9322  0.5000
Pd  0.7838  0.2162  0.0000
Pd  0.9322  0.7054  0.5000

Calculated values
The calculation puts the mass density at 8.32 g cm⁻³. Its crystal system is orthorhombic.


Which structure is most stable? one, by 242 meV per atom over the runner-up.


one | Computed, not measured: a relaxed structure of Nd2SbPd3 at the PBE level of DFT.

Cell lengths 4.5794, 4.5794, 15.4856 Å; angles 90.00, 90.00, 120.00 degrees
Sites, in units of the cell vectors:
Nd  0.0000  0.0000  0.1185
Nd  0.0000  0.0000  0.3815
Nd  0.0000  0.0000  0.6185
Nd  0.0000  0.0000  0.8815
Sb  0.3333  0.6667  0.2500
Sb  0.6667  0.3333  0.7500
Pd  0.3333  0.6667  0.0007
Pd  0.3333  0.6667  0.4993
Pd  0.3333  0.6667  0.7500
Pd  0.6667  0.3333  0.2500
Pd  0.6667  0.3333  0.5007
Pd  0.6667  0.3333  0.9993

Calculated values
The calculation puts the mass density at 8.61 g cm⁻³. Its crystal system is hexagonal.


two | Computed, not measured: a relaxed structure of Nd2SbPd3 at the PBE level of DFT.

Cell lengths 9.2963, 9.0147, 5.9155 Å; angles 73.75, 68.59, 37.66 degrees
Sites, in units of the cell vectors:
Nd  0.2409  0.7591  0.7591
Nd  0.2500  0.2500  0.2500
Nd  0.7500  0.7500  0.7500
Nd  0.7591  0.2409  0.2409
Sb  0.3370  0.3370  0.6630
Sb  0.6630  0.6630  0.3370
Pd  0.1651  0.6710  0.3290
Pd  0.1748  0.1748  0.8252
Pd  0.3290  0.8349  0.1651
Pd  0.6710  0.1651  0.8349
Pd  0.8252  0.8252  0.1748
Pd  0.8349  0.3290  0.6710

Calculated values
The calculation puts the mass density at 8.59 g cm⁻³. Its crystal system is orthorhombic.


Which structure is most stable? one, by 43 meV per atom over the runner-up.


one | Computed, not measured: a relaxed structure of NdSbPd6 at the PBE level of DFT.

Cell lengths 7.4859, 7.4859, 7.4859 Å; angles 43.39, 43.39, 43.39 degrees
Sites, in units of the cell vectors:
Nd  0.0000  0.0000  0.0000
Sb  0.5000  0.5000  0.5000
Pd  0.0587  0.5709  0.5709
Pd  0.4291  0.4291  0.9413
Pd  0.4291  0.9413  0.4291
Pd  0.5709  0.0587  0.5709
Pd  0.5709  0.5709  0.0587
Pd  0.9413  0.4291  0.4291

Calculated values
The calculation puts the mass density at 8.37 g cm⁻³. Its crystal system is trigonal.


two | Computed, not measured: a relaxed structure of NdSbPd6 at the PBE level of DFT.

Cell lengths 5.8239, 5.8239, 4.1477 Å; angles 90.00, 90.00, 90.00 degrees
Sites, in units of the cell vectors:
Nd  0.0000  0.0000  0.0000
Sb  0.5000  0.5000  0.0000
Pd  0.0000  0.5000  0.0000
Pd  0.2558  0.2558  0.5000
Pd  0.2558  0.7442  0.5000
Pd  0.5000  0.0000  0.0000
Pd  0.7442  0.2558  0.5000
Pd  0.7442  0.7442  0.5000

Calculated values
The calculation puts the mass density at 10.68 g cm⁻³. Its crystal system is tetragonal.


Which structure is most stable? two, by 251 meV per atom over the runner-up.


one | Computed, not measured: a relaxed structure of NdSc2Pd at the PBE level of DFT.

Cell lengths 3.3915, 3.3915, 8.2084 Å; angles 90.00, 90.00, 90.00 degrees
Sites, in units of the cell vectors:
Nd  0.0000  0.0000  0.0000
Sc  0.5000  0.5000  0.3084
Sc  0.5000  0.5000  0.6916
Pd  0.0000  0.0000  0.5000

Calculated values
The calculation puts the mass density at 5.99 g cm⁻³. Its crystal system is tetragonal.


two | Computed, not measured: a relaxed structure of NdSc2Pd at the PBE level of DFT.

Cell lengths 6.1661, 6.1661, 6.1661 Å; angles 43.50, 43.50, 43.50 degrees
Sites, in units of the cell vectors:
Nd  0.0000  0.0000  0.0000
Sc  0.2149  0.2149  0.2149
Sc  0.7851  0.7851  0.7851
Pd  0.5000  0.5000  0.5000

Calculated values
The calculation puts the mass density at 5.61 g cm⁻³. Its crystal system is trigonal.


three | Computed, not measured: a relaxed structure of NdSc2Pd at the PBE level of DFT.

Cell lengths 6.7824, 9.3645, 6.2292 Å; angles 90.00, 90.00, 90.00 degrees
Sites, in units of the cell vectors:
Nd  0.0080  0.2500  0.1279
Nd  0.4920  0.7500  0.6279
Nd  0.5080  0.2500  0.3721
Nd  0.9920  0.7500  0.8721
Sc  0.1762  0.0564  0.6715
Sc  0.1762  0.4436  0.6715
Sc  0.3238  0.5564  0.1715
Sc  0.3238  0.9436  0.1715
Sc  0.6762  0.0564  0.8285
Sc  0.6762  0.4436  0.8285
Sc  0.8238  0.5564  0.3285
Sc  0.8238  0.9436  0.3285
Pd  0.1091  0.7500  0.4095
Pd  0.3909  0.2500  0.9095
Pd  0.6091  0.7500  0.0905
Pd  0.8909  0.2500  0.5905

Calculated values
The calculation puts the mass density at 5.72 g cm⁻³. Its crystal system is orthorhombic.


Which structure is most stable? three, by 9 meV per atom over the runner-up.


one | Computed, not measured: a relaxed structure of Nd2PdSe at the PBE level of DFT.

Cell lengths 11.9398, 11.9398, 4.3908 Å; angles 90.00, 90.00, 160.56 degrees
Sites, in units of the cell vectors:
Nd  0.0637  0.9363  0.7500
Nd  0.3165  0.6835  0.7500
Nd  0.6835  0.3165  0.2500
Nd  0.9363  0.0637  0.2500
Pd  0.4583  0.5417  0.7500
Pd  0.5417  0.4583  0.2500
Se  0.1905  0.8095  0.7500
Se  0.8095  0.1905  0.2500

Calculated values
The calculation puts the mass density at 7.56 g cm⁻³. Its crystal system is orthorhombic.


two | Computed, not measured: a relaxed structure of Nd2PdSe at the PBE level of DFT.

Cell lengths 7.8428, 7.8428, 7.8428 Å; angles 30.56, 30.56, 30.56 degrees
Sites, in units of the cell vectors:
Nd  0.0000  0.0000  0.0000
Nd  0.1810  0.1810  0.1810
Pd  0.5907  0.5907  0.5907
Se  0.4232  0.4232  0.4232

Calculated values
The calculation puts the mass density at 7.12 g cm⁻³. Its crystal system is trigonal.


Which structure is most stable? one, by 116 meV per atom over the runner-up.